Density functional theory data (meta-GGA SCAN) for a crystal of BaSm2O4 relaxed with PBEsol.

a = 10.474 Å, b = 3.540 Å, c = 12.278 Å
α = 90.00°, β = 90.00°, γ = 90.00°
Sites, in units of the cell vectors:
Ba (0.249, 0.250, 0.148)
Ba (0.251, 0.750, 0.648)
Ba (0.749, 0.250, 0.352)
Ba (0.751, 0.750, 0.852)
Sm (0.076, 0.250, 0.889)
Sm (0.079, 0.250, 0.389)
Sm (0.421, 0.750, 0.889)
Sm (0.424, 0.750, 0.389)
Sm (0.576, 0.250, 0.611)
Sm (0.579, 0.250, 0.111)
Sm (0.921, 0.750, 0.611)
Sm (0.924, 0.750, 0.111)
O (0.016, 0.750, 0.782)
O (0.069, 0.250, 0.576)
O (0.121, 0.750, 0.017)
O (0.212, 0.750, 0.333)
O (0.288, 0.250, 0.833)
O (0.379, 0.250, 0.517)
O (0.431, 0.750, 0.076)
O (0.484, 0.250, 0.282)
O (0.516, 0.750, 0.718)
O (0.569, 0.250, 0.924)
O (0.621, 0.750, 0.483)
O (0.712, 0.750, 0.167)
O (0.788, 0.250, 0.667)
O (0.879, 0.250, 0.983)
O (0.931, 0.750, 0.424)
O (0.984, 0.250, 0.218)

- Raw total energy: -0.9337 hartree per atom
- Symmetry: No. 62